Record 1
An optimized crystal structure of Hf3CrRu, computed with PBE.

Geometry as CIF:
```
data_Hf3CrRu
_chemical_formula_sum 'Hf3 Cr1 Ru1'
_symmetry_space_group_name_H-M 'P m -3 m'
_symmetry_Int_Tables_number 221
_symmetry_space_group_name_Hall '-P 4 2 3'
_cell_length_a 4.688
_cell_length_b 4.688
_cell_length_c 4.688
_cell_angle_alpha 90.00
_cell_angle_beta 90.00
_cell_angle_gamma 90.00
loop_
_atom_site_label
_atom_site_type_symbol
_atom_site_fract_x
_atom_site_fract_y
_atom_site_fract_z
Hf1 Hf 0.000 0.000 0.500
Cr1 Cr 0.000 0.000 0.000
Ru1 Ru 0.500 0.500 0.500
```

Record 2
An optimized crystal structure of Hf2CrRu, computed with PBE.

Geometry as CIF:
```
data_Hf2CrRu
_chemical_formula_sum 'Hf2 Cr1 Ru1'
_symmetry_space_group_name_H-M 'P 4/m m m'
_symmetry_Int_Tables_number 123
_symmetry_space_group_name_Hall '-P 4 2'
_cell_length_a 3.231
_cell_length_b 3.231
_cell_length_c 6.523
_cell_angle_alpha 90.00
_cell_angle_beta 90.00
_cell_angle_gamma 90.00
loop_
_atom_site_label
_atom_site_type_symbol
_atom_site_fract_x
_atom_site_fract_y
_atom_site_fract_z
Hf1 Hf 0.000 0.000 0.250
Cr1 Cr 0.500 0.500 0.000
Ru1 Ru 0.500 0.500 0.500
```

Record 3
An optimized crystal structure of HfCr3Ru, computed with PBE.

Geometry as CIF:
```
data_HfCr3Ru
_chemical_formula_sum 'Hf1 Cr3 Ru1'
_symmetry_space_group_name_H-M 'P m -3 m'
_symmetry_Int_Tables_number 221
_symmetry_space_group_name_Hall '-P 4 2 3'
_cell_length_a 4.506
_cell_length_b 4.506
_cell_length_c 4.506
_cell_angle_alpha 90.00
_cell_angle_beta 90.00
_cell_angle_gamma 90.00
loop_
_atom_site_label
_atom_site_type_symbol
_atom_site_fract_x
_atom_site_fract_y
_atom_site_fract_z
Hf1 Hf 0.000 0.000 0.000
Cr1 Cr 0.000 0.500 0.500
Ru1 Ru 0.500 0.500 0.500
```

Record 4
An optimized crystal structure of Hf2Cr2Ru, computed with PBE.

Geometry as CIF:
```
data_Hf2Cr2Ru
_chemical_formula_sum 'Hf4 Cr4 Ru2'
_symmetry_space_group_name_H-M 'P 4/m b m'
_symmetry_Int_Tables_number 127
_symmetry_space_group_name_Hall '-P 4 2ab'
_cell_length_a 6.978
_cell_length_b 6.978
_cell_length_c 3.361
_cell_angle_alpha 90.00
_cell_angle_beta 90.00
_cell_angle_gamma 90.00
loop_
_atom_site_label
_atom_site_type_symbol
_atom_site_fract_x
_atom_site_fract_y
_atom_site_fract_z
Hf1 Hf 0.201 0.299 0.000
Cr1 Cr 0.097 0.597 0.500
Ru1 Ru 0.000 0.000 0.500
```

Record 5
An optimized crystal structure of Hf2CrRu2, computed with PBE.

Geometry as CIF:
```
data_Hf2CrRu2
_chemical_formula_sum 'Hf4 Cr2 Ru4'
_symmetry_space_group_name_H-M 'P 4/m b m'
_symmetry_Int_Tables_number 127
_symmetry_space_group_name_Hall '-P 4 2ab'
_cell_length_a 6.300
_cell_length_b 6.300
_cell_length_c 4.331
_cell_angle_alpha 90.00
_cell_angle_beta 90.00
_cell_angle_gamma 90.00
loop_
_atom_site_label
_atom_site_type_symbol
_atom_site_fract_x
_atom_site_fract_y
_atom_site_fract_z
Hf1 Hf 0.178 0.322 0.000
Cr1 Cr 0.000 0.000 0.500
Ru1 Ru 0.146 0.646 0.500
```

Record 6
# HfCrS4 | the Alexandria database | PBE | relaxed
data_HfCrS4
_chemical_formula_sum 'Hf4 Cr4 S16'
_symmetry_space_group_name_H-M 'I m m a'
_symmetry_Int_Tables_number 74
_symmetry_space_group_name_Hall '-I 2b 2'
_cell_length_a 6.941
_cell_length_b 7.276
_cell_length_c 9.756
_cell_angle_alpha 90.00
_cell_angle_beta 90.00
_cell_angle_gamma 90.00
loop_
_atom_site_label
_atom_site_type_symbol
_atom_site_fract_x
_atom_site_fract_y
_atom_site_fract_z
Hf1 Hf 0.000 0.000 0.000
Cr1 Cr 0.250 0.250 0.250
S1 S 0.000 0.026 0.258
S2 S 0.245 0.250 0.497
# Uncorrected formation energy = -999 meV/atom

Q: Which uncorrected energy values were calculated for the entries above? A: -45.0; -40.2; -42.5; -95.6; -98.2; -168.3, in eV/cell.
Q: Which size of the total moment values were calculated for the entries above? A: 0.00; 1.59; 5.73; 0.00; 0.00; 8.16, in Bohr magnetons per cell.